! Cr3PbC4O12 (PBE+U, relaxed); values from VASP
&SYSTEM
  ibrav = 0, nat = 20, ntyp = 4
/
ATOMIC_SPECIES
Cr 52.00 Cr.upf
Pb 207.20 Pb.upf
C 12.01 C.upf
O 16.00 O.upf
ATOMIC_POSITIONS angstrom
Cr 2.777 2.882 0.120
Cr 2.128 -0.962 3.252
Cr -1.446 2.502 2.771
Pb 0.000 0.000 0.000
C 5.296 -0.578 3.072
C -1.837 1.326 5.717
C 1.729 5.886 0.427
C 1.729 2.211 3.072
O 1.729 1.159 3.830
O 4.925 3.005 0.702
O -1.466 4.710 3.072
O 1.729 -1.081 5.442
O 0.789 5.741 1.302
O -0.761 0.624 5.858
O 5.382 0.552 2.452
O 2.669 5.011 0.287
O -1.923 2.273 4.842
O 4.220 -0.934 3.693
O 2.751 2.465 2.314
O 0.708 3.010 3.072
CELL_PARAMETERS angstrom
6.351 0.087 0.120
-1.446 6.185 0.120
-1.446 -1.849 5.903
! - energy (eV/atom) = -7.58
! - V (A^3/atom) = 11.771